A geometry-optimized CrMo3F structure, computed with PBE+U.

Properties
DOS(E_F), states/eV/atom: 0.4664
ρ, g cm⁻³: 4.40
Total energy, eV per atom: -4.609

```
data_CrMo3F
_symmetry_space_group_name_H-M 'P m -3 m'
_symmetry_Int_Tables_number 221
_symmetry_space_group_name_Hall '-P 4 2 3'
_cell_length_a 5.1355
_cell_length_b 5.1355
_cell_length_c 5.1355
_cell_angle_alpha 90.00
_cell_angle_beta 90.00
_cell_angle_gamma 90.00
loop_
_atom_site_label
_atom_site_type_symbol
_atom_site_fract_x
_atom_site_fract_y
_atom_site_fract_z
_atom_site_occupancy
Cr1 Cr 0.0000 0.0000 0.0000 1
Mo1 Mo 0.0000 0.0000 0.5000 1
F1 F 0.5000 0.5000 0.5000 1
```

***

A geometry-optimized Cr2MoF8 structure, computed with PBE+U.

Properties
DOS(E_F), states/eV/atom: 0.2156
ρ, g cm⁻³: 3.94
Total energy, eV per atom: -5.934

```
data_Cr2MoF8
_symmetry_space_group_name_H-M 'C 1 2/m 1'
_symmetry_Int_Tables_number 12
_cell_length_a 9.7107
_cell_length_b 6.9873
_cell_length_c 4.3685
_cell_angle_alpha 90.00
_cell_angle_beta 90.61
_cell_angle_gamma 90.00
loop_
_symmetry_equiv_pos_as_xyz
'x,y,z'
'-x,-y,-z'
'-x,y,-z'
'x,-y,z'
'x+1/2,y+1/2,z'
'-x+1/2,-y+1/2,-z'
'-x+1/2,y+1/2,-z'
'x+1/2,-y+1/2,z'
loop_
_atom_site_label
_atom_site_type_symbol
_atom_site_fract_x
_atom_site_fract_y
_atom_site_fract_z
_atom_site_occupancy
Cr1 Cr 0.1199 0.0000 0.2466 1
Mo1 Mo 0.0000 0.5000 0.0000 1
F1 F 0.0887 0.0000 0.7483 1
F2 F 0.1075 0.2820 0.2373 1
F3 F 0.1788 0.5000 0.7361 1
```

***

A geometry-optimized CrMoN2F structure, computed with PBE+U.

Properties
DOS(E_F), states/eV/atom: 0.2365
ρ, g cm⁻³: 4.87
Total energy, eV per atom: -6.643

```
data_CrMoN2F
_symmetry_space_group_name_H-M 'P 4/m m m'
_symmetry_Int_Tables_number 123
_symmetry_space_group_name_Hall '-P 4 2'
_cell_length_a 4.0165
_cell_length_b 4.0165
_cell_length_c 4.1199
_cell_angle_alpha 90.00
_cell_angle_beta 90.00
_cell_angle_gamma 90.00
loop_
_atom_site_label
_atom_site_type_symbol
_atom_site_fract_x
_atom_site_fract_y
_atom_site_fract_z
_atom_site_occupancy
Cr1 Cr 0.0000 0.0000 0.0000 1
Mo1 Mo 0.5000 0.5000 0.5000 1
N1 N 0.0000 0.5000 0.5000 1
F1 F 0.5000 0.5000 0.0000 1
```

***

A geometry-optimized CrMoN2F structure, computed with PBE+U.

Properties
DOS(E_F), states/eV/atom: 0.2279
ρ, g cm⁻³: 5.59
Total energy, eV per atom: -6.499

```
data_CrMoN2F
_symmetry_space_group_name_H-M 'P 4/m m m'
_symmetry_Int_Tables_number 123
_symmetry_space_group_name_Hall '-P 4 2'
_cell_length_a 3.9277
_cell_length_b 3.9277
_cell_length_c 3.7555
_cell_angle_alpha 90.00
_cell_angle_beta 90.00
_cell_angle_gamma 90.00
loop_
_atom_site_label
_atom_site_type_symbol
_atom_site_fract_x
_atom_site_fract_y
_atom_site_fract_z
_atom_site_occupancy
Cr1 Cr 0.0000 0.0000 0.0000 1
Mo1 Mo 0.5000 0.5000 0.5000 1
N1 N 0.0000 0.5000 0.0000 1
F1 F 0.0000 0.0000 0.5000 1
```

***

A geometry-optimized NaCr2MoF8 structure, computed with PBE+U.

Properties
DOS(E_F), states/eV/atom: 0.0000
ρ, g cm⁻³: 3.63
Total energy, eV per atom: -5.811

```
data_NaCr2MoF8
_symmetry_space_group_name_H-M 'C 1 2/m 1'
_symmetry_Int_Tables_number 12
_cell_length_a 7.1560
_cell_length_b 6.9241
_cell_length_c 6.9466
_cell_angle_alpha 90.00
_cell_angle_beta 94.06
_cell_angle_gamma 90.00
loop_
_symmetry_equiv_pos_as_xyz
'x,y,z'
'-x,-y,-z'
'-x,y,-z'
'x,-y,z'
'x+1/2,y+1/2,z'
'-x+1/2,-y+1/2,-z'
'-x+1/2,y+1/2,-z'
'x+1/2,-y+1/2,z'
loop_
_atom_site_label
_atom_site_type_symbol
_atom_site_fract_x
_atom_site_fract_y
_atom_site_fract_z
_atom_site_occupancy
Na1 Na 0.0000 0.0000 0.0000 1
Cr1 Cr 0.0088 0.5000 0.2428 1
Mo1 Mo 0.0000 0.0000 0.5000 1
F1 F 0.0022 0.2018 0.7272 1
F2 F 0.1848 0.5000 0.9768 1
F3 F 0.2033 0.5000 0.4764 1
```

***

A geometry-optimized Na2CrMoF6 structure, computed with PBE+U.

Properties
DOS(E_F), states/eV/atom: 0.2269
ρ, g cm⁻³: 3.20
Total energy, eV per atom: -5.125

```
data_Na2CrMoF6
_symmetry_space_group_name_H-M 'P m m n'
_symmetry_Int_Tables_number 59
_cell_length_a 6.0865
_cell_length_b 8.4872
_cell_length_c 6.1884
_cell_angle_alpha 90.00
_cell_angle_beta 90.00
_cell_angle_gamma 90.00
loop_
_symmetry_equiv_pos_as_xyz
'x,y,z'
'-x,-y,-z'
'-x+1/2,-y+1/2,z'
'x+1/2,y+1/2,-z'
'x+1/2,-y,-z'
'-x+1/2,y,z'
'-x,y+1/2,-z'
'x,-y+1/2,z'
loop_
_atom_site_label
_atom_site_type_symbol
_atom_site_fract_x
_atom_site_fract_y
_atom_site_fract_z
_atom_site_occupancy
Na1 Na 0.2500 0.0715 0.2422 1
Cr1 Cr 0.2500 0.2500 0.7483 1
Mo1 Mo 0.2500 0.7500 0.7508 1
F1 F 0.0278 0.2500 0.0229 1
F2 F 0.0295 0.2500 0.4731 1
F3 F 0.2500 0.0143 0.7555 1
```

***

A geometry-optimized Rb2Cr3MoF12 structure, computed with PBE+U.

Properties
DOS(E_F), states/eV/atom: 0.0559
ρ, g cm⁻³: 3.46
Total energy, eV per atom: -5.675

```
data_Rb2Cr3MoF12
_symmetry_space_group_name_H-M 'R -3 m'
_symmetry_Int_Tables_number 166
_symmetry_space_group_name_Hall '-R 3 2"'
_cell_length_a 7.7123
_cell_length_b 7.7123
_cell_length_c 18.2113
_cell_angle_alpha 90.00
_cell_angle_beta 90.00
_cell_angle_gamma 120.00
loop_
_atom_site_label
_atom_site_type_symbol
_atom_site_fract_x
_atom_site_fract_y
_atom_site_fract_z
_atom_site_occupancy
Rb1 Rb 0.0000 0.0000 0.1111 1
Cr1 Cr 0.0000 0.5000 0.0000 1
Mo1 Mo 0.0000 0.0000 0.5000 1
F1 F 0.0626 0.5313 0.1083 1
F2 F 0.0713 0.5356 0.3538 1
```

***

A geometry-optimized Rb2CrMoF structure, computed with PBE+U.

Properties
DOS(E_F), states/eV/atom: 0.3874
ρ, g cm⁻³: 2.40
Total energy, eV per atom: -3.551

```
data_Rb2CrMoF
_symmetry_space_group_name_H-M 'P 4/m m m'
_symmetry_Int_Tables_number 123
_symmetry_space_group_name_Hall '-P 4 2'
_cell_length_a 7.4159
_cell_length_b 7.4159
_cell_length_c 4.2498
_cell_angle_alpha 90.00
_cell_angle_beta 90.00
_cell_angle_gamma 90.00
loop_
_atom_site_label
_atom_site_type_symbol
_atom_site_fract_x
_atom_site_fract_y
_atom_site_fract_z
_atom_site_occupancy
Rb1 Rb 0.0000 0.5000 0.0000 1
Cr1 Cr 0.0000 0.0000 0.5000 1
Mo1 Mo 0.5000 0.5000 0.0000 1
F1 F 0.5000 0.5000 0.5000 1
```

***

A geometry-optimized Rb2CrMoF6 structure, computed with PBE+U.

Properties
DOS(E_F), states/eV/atom: 0.0000
ρ, g cm⁻³: 4.32
Total energy, eV per atom: -5.186

```
data_Rb2CrMoF6
_symmetry_space_group_name_H-M 'I 4/m m m'
_symmetry_Int_Tables_number 139
_symmetry_space_group_name_Hall '-I 4 2'
_cell_length_a 6.2894
_cell_length_b 6.2894
_cell_length_c 8.4183
_cell_angle_alpha 90.00
_cell_angle_beta 90.00
_cell_angle_gamma 90.00
loop_
_atom_site_label
_atom_site_type_symbol
_atom_site_fract_x
_atom_site_fract_y
_atom_site_fract_z
_atom_site_occupancy
Rb1 Rb 0.0000 0.5000 0.2500 1
Cr1 Cr 0.0000 0.0000 0.0000 1
Mo1 Mo 0.0000 0.0000 0.5000 1
F1 F 0.0000 0.0000 0.2408 1
F2 F 0.2459 0.2459 0.0000 1
```

***

A geometry-optimized ScCrMo2F structure, computed with PBE+U.

Properties
DOS(E_F), states/eV/atom: 0.5785
ρ, g cm⁻³: 4.12
Total energy, eV per atom: -5.498

```
data_ScCrMo2F
_symmetry_space_group_name_H-M 'P 4/m m m'
_symmetry_Int_Tables_number 123
_symmetry_space_group_name_Hall '-P 4 2'
_cell_length_a 5.6353
_cell_length_b 5.6353
_cell_length_c 3.9022
_cell_angle_alpha 90.00
_cell_angle_beta 90.00
_cell_angle_gamma 90.00
loop_
_atom_site_label
_atom_site_type_symbol
_atom_site_fract_x
_atom_site_fract_y
_atom_site_fract_z
_atom_site_occupancy
Sc1 Sc 0.0000 0.0000 0.0000 1
Cr1 Cr 0.5000 0.5000 0.5000 1
Mo1 Mo 0.0000 0.5000 0.0000 1
F1 F 0.0000 0.0000 0.5000 1
```

***

A geometry-optimized Cr2SnMoF structure, computed with PBE+U.

Properties
DOS(E_F), states/eV/atom: 0.5361
ρ, g cm⁻³: 4.35
Total energy, eV per atom: -4.690

```
data_Cr2SnMoF
_symmetry_space_group_name_H-M 'P 4/m m m'
_symmetry_Int_Tables_number 123
_symmetry_space_group_name_Hall '-P 4 2'
_cell_length_a 5.4344
_cell_length_b 5.4344
_cell_length_c 4.3603
_cell_angle_alpha 90.00
_cell_angle_beta 90.00
_cell_angle_gamma 90.00
loop_
_atom_site_label
_atom_site_type_symbol
_atom_site_fract_x
_atom_site_fract_y
_atom_site_fract_z
_atom_site_occupancy
Cr1 Cr 0.0000 0.5000 0.0000 1
Sn1 Sn 0.0000 0.0000 0.0000 1
Mo1 Mo 0.5000 0.5000 0.5000 1
F1 F 0.0000 0.0000 0.5000 1
```

***

A geometry-optimized TlCrMoF structure, computed with PBE+U.

Properties
DOS(E_F), states/eV/atom: 0.5716
ρ, g cm⁻³: 7.03
Total energy, eV per atom: -4.871

```
data_TlCrMoF
_symmetry_space_group_name_H-M 'P 1'
_symmetry_Int_Tables_number 1
_cell_length_a 3.0898
_cell_length_b 3.2511
_cell_length_c 9.0558
_cell_angle_alpha 82.56
_cell_angle_beta 81.40
_cell_angle_gamma 78.66
loop_
_symmetry_equiv_pos_as_xyz
'x,y,z'
loop_
_atom_site_label
_atom_site_type_symbol
_atom_site_fract_x
_atom_site_fract_y
_atom_site_fract_z
_atom_site_occupancy
Tl1 Tl 0.0000 0.0000 0.0000 1
Cr1 Cr 0.8151 0.8589 0.5137 1
Mo1 Mo 0.3989 0.4227 0.2864 1
F1 F 0.2553 0.8297 0.6614 1
```

***

> What is the formula in the fourth record?

CrMoN2F

***

> Look up the total energy of the fifth one.

-5.811 eV per atom

***

Copy entry 6 word for word.
A geometry-optimized Na2CrMoF6 structure, computed with PBE+U.

Properties
DOS(E_F), states/eV/atom: 0.2269
ρ, g cm⁻³: 3.20
Total energy, eV per atom: -5.125

```
data_Na2CrMoF6
_symmetry_space_group_name_H-M 'P m m n'
_symmetry_Int_Tables_number 59
_cell_length_a 6.0865
_cell_length_b 8.4872
_cell_length_c 6.1884
_cell_angle_alpha 90.00
_cell_angle_beta 90.00
_cell_angle_gamma 90.00
loop_
_symmetry_equiv_pos_as_xyz
'x,y,z'
'-x,-y,-z'
'-x+1/2,-y+1/2,z'
'x+1/2,y+1/2,-z'
'x+1/2,-y,-z'
'-x+1/2,y,z'
'-x,y+1/2,-z'
'x,-y+1/2,z'
loop_
_atom_site_label
_atom_site_type_symbol
_atom_site_fract_x
_atom_site_fract_y
_atom_site_fract_z
_atom_site_occupancy
Na1 Na 0.2500 0.0715 0.2422 1
Cr1 Cr 0.2500 0.2500 0.7483 1
Mo1 Mo 0.2500 0.7500 0.7508 1
F1 F 0.0278 0.2500 0.0229 1
F2 F 0.0295 0.2500 0.4731 1
F3 F 0.2500 0.0143 0.7555 1
```

***

Repeat the eleventh record exactly.
A geometry-optimized Cr2SnMoF structure, computed with PBE+U.

Properties
DOS(E_F), states/eV/atom: 0.5361
ρ, g cm⁻³: 4.35
Total energy, eV per atom: -4.690

```
data_Cr2SnMoF
_symmetry_space_group_name_H-M 'P 4/m m m'
_symmetry_Int_Tables_number 123
_symmetry_space_group_name_Hall '-P 4 2'
_cell_length_a 5.4344
_cell_length_b 5.4344
_cell_length_c 4.3603
_cell_angle_alpha 90.00
_cell_angle_beta 90.00
_cell_angle_gamma 90.00
loop_
_atom_site_label
_atom_site_type_symbol
_atom_site_fract_x
_atom_site_fract_y
_atom_site_fract_z
_atom_site_occupancy
Cr1 Cr 0.0000 0.5000 0.0000 1
Sn1 Sn 0.0000 0.0000 0.0000 1
Mo1 Mo 0.5000 0.5000 0.5000 1
F1 F 0.0000 0.0000 0.5000 1
```